Here is a relaxed structure of MgNiS from Alexandria via LeMat-Bulk. Energies are from PBE.

Results
As for the volume: 181.8 Å³/cell. Its raw formation energy is -0.359 eV/atom.

Lattice parameters (Å, degrees): 5.2471 6.5331 5.3038 90.00 90.00 90.00
Last column: nearest neighbours and their distance in Å.
Atoms (fractional coordinates):
Ni 0.2526 0.2500 0.1753  2 S 2.30, 1 Mg 2.55
S 0.5000 0.5000 0.5000  2 Ni 2.30
Mg 0.3632 0.7500 0.1423  2 Ni 2.55-2.63, 4 S 2.60-2.62
S 0.0000 0.0000 0.0000  2 Ni 2.30
Mg 0.6368 0.2500 0.8577  2 Ni 2.55-2.63, 4 S 2.60-2.62
Ni 0.2474 0.7500 0.6753  2 S 2.30, 1 Mg 2.55
S 0.0000 0.5000 0.0000  2 Ni 2.30
Ni 0.7526 0.2500 0.3247  2 S 2.30, 1 Mg 2.55
Ni 0.7474 0.7500 0.8247  2 S 2.30, 1 Mg 2.55
S 0.5000 0.0000 0.5000  2 Ni 2.30
Mg 0.1368 0.2500 0.6423  2 Ni 2.55-2.63, 4 S 2.60-2.62
Mg 0.8632 0.7500 0.3577  2 Ni 2.55-2.63, 4 S 2.60-2.62